{
  "formula": "Tl2HgSb",
  "functional": "meta-GGA SCAN",
  "state": "single point on PBEsol structure",
  "lattice_angstrom": [[5.2238, 0.0000, 0.0000], [0.0000, 5.2238, 0.0000], [0.0000, 0.0000, 7.9080]],
  "species": ["Tl", "Tl", "Tl", "Tl", "Hg", "Hg", "Sb", "Sb"],
  "fractional_positions": [[0.0000, 0.0000, 0.0000], [0.0000, 0.5000, 0.2500], [0.5000, 0.0000, 0.7500], [0.5000, 0.5000, 0.5000], [0.0000, 0.0000, 0.5000], [0.5000, 0.5000, 0.0000], [0.0000, 0.5000, 0.7500], [0.5000, 0.0000, 0.2500]],
  "volume_a3_per_atom": 26.97,
  "energy_ev_per_atom": -62.502,
  "polymorph_energy_mev_per_atom": 33,
  "raw_formation_energy_ev_per_atom": 0.033
}

=====

{
  "formula": "BaCdAu",
  "functional": "meta-GGA SCAN",
  "state": "single point on PBEsol structure",
  "lattice_angstrom": [[4.8538, 0.0000, 0.0000], [-2.4269, 4.2035, 0.0000], [0.0000, 0.0000, 4.2921]],
  "species": ["Ba", "Cd", "Au"],
  "fractional_positions": [[0.0000, 0.0000, 0.0000], [0.3333, 0.6667, 0.5000], [0.6667, 0.3333, 0.5000]],
  "delta_e_f_ev_per_atom": -0.664,
  "volume_a3_per_atom": 29.19,
  "energy_ev_per_atom": -47.038
}

=====

{
  "formula": "LiFeSO4F",
  "functional": "meta-GGA SCAN",
  "state": "single point on PBEsol structure",
  "lattice_angstrom": [[5.1575, 0.0000, 0.0000], [-0.8314, 5.3857, 0.0000], [-2.1630, -2.4279, 6.4430]],
  "species": ["Li", "Li", "Fe", "Fe", "S", "S", "O", "O", "O", "O", "O", "O", "O", "O", "F", "F"],
  "fractional_positions": [[0.2197, 0.3582, 0.1989], [0.7803, 0.6418, 0.8011], [0.5000, 0.0000, 0.0000], [0.5000, 0.0000, 0.5000], [0.1797, 0.3586, 0.7506], [0.8203, 0.6414, 0.2494], [0.0940, 0.7632, 0.4204], [0.1833, 0.6400, 0.8582], [0.2172, 0.2203, 0.9039], [0.4149, 0.3541, 0.6704], [0.5851, 0.6459, 0.3296], [0.7828, 0.7797, 0.0961], [0.8167, 0.3600, 0.1418], [0.9060, 0.2368, 0.5796], [0.3714, 0.0877, 0.2462], [0.6286, 0.9123, 0.7538]],
  "volume_a3_per_atom": 11.19,
  "energy_ev_per_atom": -9.279,
  "raw_formation_energy_ev_per_atom": -1.952
}

=====

{
  "formula": "VP2O7",
  "functional": "meta-GGA SCAN",
  "state": "single point on PBEsol structure",
  "lattice_angstrom": [[3.2594, -3.8728, 0.0000], [3.2594, 3.8728, 0.0000], [-0.9596, 0.0000, 4.3913]],
  "species": ["V", "P", "P", "O", "O", "O", "O", "O", "O", "O"],
  "fractional_positions": [[0.0000, 0.0000, 0.0000], [0.4470, 0.1500, 0.5886], [0.8500, 0.5530, 0.4114], [0.0337, 0.6972, 0.7080], [0.2547, 0.2124, 0.8127], [0.3028, 0.9663, 0.2920], [0.5607, 0.4393, 0.5000], [0.6864, 0.0402, 0.7324], [0.7876, 0.7453, 0.1873], [0.9598, 0.3136, 0.2676]],
  "volume_a3_per_atom": 11.09,
  "energy_ev_per_atom": -10.665,
  "polymorph_energy_mev_per_atom": 11,
  "raw_formation_energy_ev_per_atom": -2.474
}

=====

Please write out number 4 again, unchanged.
{
  "formula": "VP2O7",
  "functional": "meta-GGA SCAN",
  "state": "single point on PBEsol structure",
  "lattice_angstrom": [[3.2594, -3.8728, 0.0000], [3.2594, 3.8728, 0.0000], [-0.9596, 0.0000, 4.3913]],
  "species": ["V", "P", "P", "O", "O", "O", "O", "O", "O", "O"],
  "fractional_positions": [[0.0000, 0.0000, 0.0000], [0.4470, 0.1500, 0.5886], [0.8500, 0.5530, 0.4114], [0.0337, 0.6972, 0.7080], [0.2547, 0.2124, 0.8127], [0.3028, 0.9663, 0.2920], [0.5607, 0.4393, 0.5000], [0.6864, 0.0402, 0.7324], [0.7876, 0.7453, 0.1873], [0.9598, 0.3136, 0.2676]],
  "volume_a3_per_atom": 11.09,
  "energy_ev_per_atom": -10.665,
  "polymorph_energy_mev_per_atom": 11,
  "raw_formation_energy_ev_per_atom": -2.474
}